*1*
A plane-wave DFT calculation with PBE was carried out for an optimized crystal structure of TbCeY3.

Summary:
symmetry	P-1 (2)

The structure in extended XYZ format:
```
10
Lattice="3.610 0.000 0.000 -0.002 8.482 0.000 -1.803 -3.149 10.508" Properties=species:S:1:pos:R:3 pbc="T T T"
Tb -0.001 -0.570 2.448
Tb 1.806 5.903 8.060
Ce -0.001 3.266 6.584
Ce 1.807 2.068 3.924
Y 0.000 4.429 1.764
Y 0.002 -0.215 5.934
Y 0.002 3.601 10.153
Y 1.804 1.732 0.356
Y 1.804 5.548 4.575
Y 1.806 0.905 8.745
```

***

*2*
A plane-wave DFT calculation with PBE was carried out for an optimized crystal structure of TbCeY3.

Summary:
symmetry	Fmmm (69)

The structure in extended XYZ format:
```
10
Lattice="0.000 6.021 8.889 3.045 0.000 8.889 3.045 6.021 0.000" Properties=species:S:1:pos:R:3 pbc="T T T"
Tb 1.523 3.010 4.445
Tb 4.568 9.031 13.334
Ce 3.045 1.353 8.889
Ce 3.045 10.688 8.889
Y 3.045 6.021 3.354
Y 3.045 4.345 7.128
Y 3.045 4.345 10.650
Y 3.045 7.696 7.128
Y 3.045 7.696 10.650
Y 3.045 6.021 14.424
```

***

The winner here is *1*, beating the second structure by 13.1 kJ/mol of atoms.

***

*1*
A plane-wave DFT calculation with PBE was carried out for an optimized crystal structure of Tb5CeY4.

Summary:
symmetry	I4mm (107)

The structure in extended XYZ format:
```
10
Lattice="-5.261 5.261 2.950 5.261 -5.261 2.950 5.261 5.261 -2.950" Properties=species:S:1:pos:R:3 pbc="T T T"
Tb 0.000 0.000 0.000
Tb 3.312 3.312 1.206
Tb 1.949 -1.949 4.156
Tb -1.949 1.949 4.156
Tb 1.949 1.949 4.156
Ce 0.000 0.000 2.753
Y 3.420 0.000 1.242
Y 7.103 0.000 1.242
Y 0.000 3.420 1.242
Y 0.000 7.103 1.242
```

***

*2*
A plane-wave DFT calculation with PBE was carried out for an optimized crystal structure of Tb5CeY4.

Summary:
symmetry	C2/m (12)

The structure in extended XYZ format:
```
10
Lattice="10.983 -1.839 0.000 10.983 1.839 0.000 -1.017 0.000 8.073" Properties=species:S:1:pos:R:3 pbc="T T T"
Tb 0.000 0.000 0.000
Tb 4.605 0.000 1.129
Tb 8.126 0.000 5.973
Tb 12.824 0.000 2.101
Tb 16.345 0.000 6.944
Ce -0.508 0.000 4.037
Y 3.551 0.000 4.477
Y 8.364 0.000 1.372
Y 12.586 0.000 6.701
Y 17.399 0.000 3.597
```

***

The winner here is *2*, beating the second structure by 15.2 kJ/mol of atoms.

***

*1*
A plane-wave DFT calculation with PBE was carried out for an optimized crystal structure of Tb4CeY3.

Summary:
symmetry	C2/m (12)

The structure in extended XYZ format:
```
16
Lattice="23.441 0.000 0.000 0.000 3.429 0.000 -1.951 0.000 6.486" Properties=species:S:1:pos:R:3 pbc="T T T"
Tb 2.196 0.000 2.375
Tb 5.178 1.715 1.584
Tb 4.592 0.000 4.902
Tb 7.574 1.715 4.110
Tb 13.917 1.715 2.375
Tb 16.898 0.000 1.584
Tb 16.313 1.715 4.902
Tb 19.295 0.000 4.110
Ce 0.000 1.715 0.000
Ce 11.721 0.000 0.000
Y -0.975 0.000 3.243
Y 1.212 0.000 5.731
Y 8.558 1.715 0.755
Y 10.745 1.715 3.243
Y 12.933 1.715 5.731
Y 20.279 0.000 0.755
```

***

*2*
A plane-wave DFT calculation with PBE was carried out for an optimized crystal structure of Tb4CeY3.

Summary:
symmetry	Cmmm (65)

The structure in extended XYZ format:
```
16
Lattice="11.660 0.000 0.000 0.000 13.124 0.000 0.000 0.000 3.360" Properties=species:S:1:pos:R:3 pbc="T T T"
Tb 0.000 3.103 0.000
Tb 0.000 10.021 0.000
Tb 2.670 0.000 1.680
Tb 3.160 6.562 1.680
Tb 5.830 3.459 0.000
Tb 5.830 9.665 0.000
Tb 8.500 6.562 1.680
Tb 8.990 0.000 1.680
Ce 0.000 0.000 0.000
Ce 5.830 6.562 0.000
Y 0.000 6.562 0.000
Y 2.915 3.281 1.680
Y 2.915 9.843 1.680
Y 5.830 0.000 0.000
Y 8.745 3.281 1.680
Y 8.745 9.843 1.680
```

***

The winner here is *1*, beating the second structure by 21.4 kJ/mol of atoms.

***

*1*
A plane-wave DFT calculation with PBE was carried out for an optimized crystal structure of Tb2CeZn.

Summary:
symmetry	P4/mmm (123)

The structure in extended XYZ format:
```
4
Lattice="3.541 0.000 0.000 0.000 3.541 0.000 0.000 0.000 8.523" Properties=species:S:1:pos:R:3 pbc="T T T"
Tb 0.000 0.000 1.803
Tb 0.000 0.000 6.720
Ce 1.771 1.771 4.261
Zn 1.771 1.771 0.000
```

***

*2*
A plane-wave DFT calculation with PBE was carried out for an optimized crystal structure of Tb2CeZn.

Summary:
symmetry	R3m (160)

The structure in extended XYZ format:
```
12
Lattice="3.542 0.000 0.000 -1.771 3.068 0.000 0.000 0.000 31.187" Properties=species:S:1:pos:R:3 pbc="T T T"
Tb 0.000 0.000 0.000
Tb 0.000 0.000 5.885
Tb 0.000 2.045 20.791
Tb 0.000 2.045 26.676
Tb 1.771 1.023 10.396
Tb 1.771 1.023 16.280
Ce 0.000 0.000 13.342
Ce 0.000 2.045 2.947
Ce 1.771 1.023 23.738
Zn 0.000 0.000 18.525
Zn 0.000 2.045 8.130
Zn 1.771 1.023 28.921
```

***

The winner here is *1*, beating the second structure by 11.5 kJ/mol of atoms.

***

*1*
A plane-wave DFT calculation with PBE was carried out for an optimized crystal structure of Tb2CeZn.

Summary:
symmetry	P4/mmm (123)

The structure in extended XYZ format:
```
4
Lattice="4.775 0.000 0.000 0.000 4.775 0.000 0.000 0.000 4.642" Properties=species:S:1:pos:R:3 pbc="T T T"
Tb 0.000 2.387 0.000
Tb 2.387 0.000 0.000
Ce 0.000 0.000 2.321
Zn 2.387 2.387 2.321
```

***

*2*
A plane-wave DFT calculation with PBE was carried out for an optimized crystal structure of Tb2CeZn.

Summary:
symmetry	Fm-3m (225)

The structure in extended XYZ format:
```
16
Lattice="7.435 0.000 0.000 0.000 7.435 0.000 0.000 0.000 7.435" Properties=species:S:1:pos:R:3 pbc="T T T"
Tb 1.859 1.859 1.859
Tb 1.859 1.859 5.576
Tb 1.859 5.576 1.859
Tb 1.859 5.576 5.576
Tb 5.576 1.859 1.859
Tb 5.576 1.859 5.576
Tb 5.576 5.576 1.859
Tb 5.576 5.576 5.576
Ce 0.000 0.000 0.000
Ce 0.000 3.717 3.717
Ce 3.717 0.000 3.717
Ce 3.717 3.717 0.000
Zn 0.000 0.000 3.717
Zn 0.000 3.717 0.000
Zn 3.717 0.000 0.000
Zn 3.717 3.717 3.717
```

***

The winner here is *1*, beating the second structure by 11.3 kJ/mol of atoms.

***

*1*
A plane-wave DFT calculation with PBE was carried out for an optimized crystal structure of TbCe2Zr.

Summary:
symmetry	R-3m (166)

The structure in extended XYZ format:
```
12
Lattice="3.235 0.000 0.000 -1.617 2.802 0.000 0.000 0.000 35.974" Properties=species:S:1:pos:R:3 pbc="T T T"
Tb 0.000 0.000 0.000
Tb 0.000 1.868 23.983
Tb 1.618 0.934 11.991
Ce 0.000 0.000 15.040
Ce 0.000 0.000 20.934
Ce 0.000 1.868 3.049
Ce 0.000 1.868 8.943
Ce 1.618 0.934 27.031
Ce 1.618 0.934 32.925
Zr 0.000 0.000 17.987
Zr 0.000 1.868 5.996
Zr 1.618 0.934 29.978
```

***

*2*
A plane-wave DFT calculation with PBE was carried out for an optimized crystal structure of TbCe2Zr.

Summary:
symmetry	P4/mmm (123)

The structure in extended XYZ format:
```
4
Lattice="4.687 0.000 0.000 0.000 4.687 0.000 0.000 0.000 5.013" Properties=species:S:1:pos:R:3 pbc="T T T"
Tb 0.000 0.000 0.000
Ce 0.000 2.344 2.507
Ce 2.344 0.000 2.507
Zr 2.344 2.344 0.000
```

***

The winner here is *2*, beating the second structure by 13.6 kJ/mol of atoms.

***

*1*
A plane-wave DFT calculation with PBE was carried out for an optimized crystal structure of TbCe2Zr.

Summary:
symmetry	Fm-3m (225)

The structure in extended XYZ format:
```
16
Lattice="7.669 0.000 0.000 0.000 7.669 0.000 0.000 0.000 7.669" Properties=species:S:1:pos:R:3 pbc="T T T"
Tb 0.000 0.000 0.000
Tb 0.000 3.834 3.834
Tb 3.834 0.000 3.834
Tb 3.834 3.834 0.000
Ce 1.917 1.917 1.917
Ce 1.917 1.917 5.752
Ce 1.917 5.752 1.917
Ce 1.917 5.752 5.752
Ce 5.752 1.917 1.917
Ce 5.752 1.917 5.752
Ce 5.752 5.752 1.917
Ce 5.752 5.752 5.752
Zr 0.000 0.000 3.834
Zr 0.000 3.834 0.000
Zr 3.834 0.000 0.000
Zr 3.834 3.834 3.834
```

***

*2*
A plane-wave DFT calculation with PBE was carried out for an optimized crystal structure of TbCe2Zr.

Summary:
symmetry	P4/mmm (123)

The structure in extended XYZ format:
```
4
Lattice="3.295 0.000 0.000 0.000 3.295 0.000 0.000 0.000 10.162" Properties=species:S:1:pos:R:3 pbc="T T T"
Tb 0.000 0.000 0.000
Ce 1.648 1.648 2.675
Ce 1.648 1.648 7.487
Zr 0.000 0.000 5.081
```

***

The winner here is *2*, beating the second structure by 13.8 kJ/mol of atoms.

***

*1*
A plane-wave DFT calculation with PBE was carried out for an optimized crystal structure of TbCeZr.

Summary:
symmetry	P4/nmm (129)

The structure in extended XYZ format:
```
6
Lattice="3.825 0.000 0.000 0.000 3.825 0.000 0.000 0.000 11.358" Properties=species:S:1:pos:R:3 pbc="T T T"
Tb 0.956 0.956 2.598
Tb 2.869 2.869 8.760
Ce 0.956 0.956 6.275
Ce 2.869 2.869 5.083
Zr 0.956 0.956 10.707
Zr 2.869 2.869 0.651
```

***

*2*
A plane-wave DFT calculation with PBE was carried out for an optimized crystal structure of TbCeZr.

Summary:
symmetry	I4mm (107)

The structure in extended XYZ format:
```
6
Lattice="3.314 0.000 0.000 0.000 3.314 0.000 0.000 0.000 15.053" Properties=species:S:1:pos:R:3 pbc="T T T"
Tb 0.000 0.000 0.000
Tb 1.657 1.657 7.527
Ce 0.000 0.000 10.261
Ce 1.657 1.657 2.734
Zr 0.000 0.000 5.119
Zr 1.657 1.657 12.645
```

***

The winner here is *2*, beating the second structure by 2.8 kJ/mol of atoms.

***

*1*
A plane-wave DFT calculation with PBE was carried out for an optimized crystal structure of CeTc6.

Summary:
symmetry	Im-3m (229)

The structure in extended XYZ format:
```
14
Lattice="6.786 0.000 0.000 0.000 6.786 0.000 0.000 0.000 6.786" Properties=species:S:1:pos:R:3 pbc="T T T"
Ce 0.000 0.000 0.000
Ce 3.393 3.393 3.393
Tc 0.000 1.697 3.393
Tc 0.000 3.393 1.697
Tc 0.000 3.393 5.090
Tc 0.000 5.090 3.393
Tc 1.697 0.000 3.393
Tc 1.697 3.393 0.000
Tc 3.393 0.000 1.697
Tc 3.393 0.000 5.090
Tc 3.393 1.697 0.000
Tc 3.393 5.090 0.000
Tc 5.090 0.000 3.393
Tc 5.090 3.393 0.000
```

***

*2*
A plane-wave DFT calculation with PBE was carried out for an optimized crystal structure of CeTc6.

Summary:
symmetry	Pnma (62)

The structure in extended XYZ format:
```
28
Lattice="8.556 0.000 0.000 0.000 5.144 0.000 0.000 0.000 10.785" Properties=species:S:1:pos:R:3 pbc="T T T"
Ce 1.978 1.286 0.564
Ce 2.300 3.858 5.956
Ce 6.256 1.286 4.829
Ce 6.578 3.858 10.221
Tc 0.560 0.044 3.280
Tc 0.560 2.528 3.280
Tc 0.668 3.858 0.779
Tc 0.722 1.286 5.647
Tc 1.251 3.858 9.137
Tc 1.626 1.286 8.172
Tc 2.652 3.858 2.779
Tc 3.027 1.286 3.744
Tc 3.556 3.858 0.255
Tc 3.610 1.286 6.171
Tc 3.718 2.616 8.672
Tc 3.718 5.100 8.672
Tc 4.838 0.044 2.112
Tc 4.838 2.528 2.112
Tc 4.946 3.858 4.614
Tc 5.000 1.286 10.530
Tc 5.529 3.858 7.041
Tc 5.904 1.286 8.006
Tc 6.930 3.858 2.613
Tc 7.305 1.286 1.648
Tc 7.834 3.858 5.138
Tc 7.888 1.286 10.006
Tc 7.996 2.616 7.505
Tc 7.996 5.100 7.505
```

***

The winner here is *2*, beating the second structure by 76.6 kJ/mol of atoms.

***

*1*
A plane-wave DFT calculation with PBE was carried out for an optimized crystal structure of Ce2TcTe.

Summary:
symmetry	R-3m (166)

The structure in extended XYZ format:
```
12
Lattice="4.114 0.000 0.000 -2.057 3.563 0.000 0.000 0.000 22.124" Properties=species:S:1:pos:R:3 pbc="T T T"
Ce 0.000 0.000 5.200
Ce 0.000 0.000 16.925
Ce 0.000 2.375 9.550
Ce 0.000 2.375 19.949
Ce 2.057 1.188 2.175
Ce 2.057 1.188 12.574
Tc 0.000 0.000 11.062
Tc 0.000 2.375 3.687
Tc 2.057 1.188 18.437
Te 0.000 0.000 0.000
Te 0.000 2.375 14.750
Te 2.057 1.188 7.375
```

***

*2*
A plane-wave DFT calculation with PBE was carried out for an optimized crystal structure of Ce2TcTe.

Summary:
symmetry	P4/mmm (123)

The structure in extended XYZ format:
```
4
Lattice="3.575 0.000 0.000 0.000 3.575 0.000 0.000 0.000 7.643" Properties=species:S:1:pos:R:3 pbc="T T T"
Ce 0.000 0.000 1.678
Ce 0.000 0.000 5.964
Tc 1.788 1.788 0.000
Te 1.788 1.788 3.821
```

***

The winner here is *1*, beating the second structure by 4.7 kJ/mol of atoms.

***

*1*
A plane-wave DFT calculation with PBE was carried out for an optimized crystal structure of Ce3ThTc.

Summary:
symmetry	Pnma (62)

The structure in extended XYZ format:
```
20
Lattice="8.805 0.000 0.000 0.000 5.269 0.000 0.000 0.000 11.351" Properties=species:S:1:pos:R:3 pbc="T T T"
Ce 0.913 1.317 0.953
Ce 1.006 3.952 7.940
Ce 1.429 3.952 3.522
Ce 2.973 1.317 9.198
Ce 3.397 1.317 2.265
Ce 3.490 3.952 6.629
Ce 5.315 1.317 4.722
Ce 5.408 3.952 9.086
Ce 5.831 3.952 2.153
Ce 7.376 1.317 7.829
Ce 7.799 1.317 3.411
Ce 7.892 3.952 10.398
Th 1.477 1.317 5.859
Th 2.925 3.952 0.183
Th 5.880 1.317 11.168
Th 7.327 3.952 5.492
Tc 0.528 1.317 9.569
Tc 3.874 3.952 3.893
Tc 4.931 1.317 7.458
Tc 8.277 3.952 1.782
```

***

*2*
A plane-wave DFT calculation with PBE was carried out for an optimized crystal structure of Ce3ThTc.

Summary:
symmetry	Imma (74)

The structure in extended XYZ format:
```
10
Lattice="-2.431 5.008 5.534 2.431 -5.008 5.534 2.431 5.008 -5.534" Properties=species:S:1:pos:R:3 pbc="T T T"
Ce 0.000 0.013 1.449
Ce 2.431 0.013 4.085
Ce 2.431 2.504 1.881
Ce 0.000 2.504 3.653
Ce 0.000 4.995 1.449
Ce 2.431 4.995 4.085
Th 2.431 2.504 -1.643
Th 0.000 2.504 7.177
Tc 0.000 2.504 0.045
Tc 2.431 2.504 5.489
```

***

The winner here is *1*, beating the second structure by 2.7 kJ/mol of atoms.

***

*1*
A plane-wave DFT calculation with PBE was carried out for an optimized crystal structure of CeThTc.

Summary:
symmetry	F-43m (216)

The structure in extended XYZ format:
```
12
Lattice="6.892 0.000 0.000 0.000 6.892 0.000 0.000 0.000 6.892" Properties=species:S:1:pos:R:3 pbc="T T T"
Ce 0.000 0.000 0.000
Ce 0.000 3.446 3.446
Ce 3.446 0.000 3.446
Ce 3.446 3.446 0.000
Th 0.000 0.000 3.446
Th 0.000 3.446 0.000
Th 3.446 0.000 0.000
Th 3.446 3.446 3.446
Tc 1.723 1.723 1.723
Tc 1.723 5.169 5.169
Tc 5.169 1.723 5.169
Tc 5.169 5.169 1.723
```

***

*2*
A plane-wave DFT calculation with PBE was carried out for an optimized crystal structure of CeThTc.

Summary:
symmetry	P-1 (2)

The structure in extended XYZ format:
```
6
Lattice="4.016 0.000 0.000 -0.003 4.211 0.000 -0.028 -0.062 8.416" Properties=species:S:1:pos:R:3 pbc="T T T"
Ce 0.982 1.064 4.003
Ce 3.003 3.085 4.414
Th 1.001 3.159 1.217
Th 2.984 0.991 7.199
Tc 0.979 3.100 6.573
Tc 3.007 1.049 1.844
```

***

The winner here is *2*, beating the second structure by 16.0 kJ/mol of atoms.